Li2CaCd SCAN single point on PBEsol structure; E = -182.3 eV for the cell shown; relative energy among the computed polymorphs = 18 meV/atom; N(E_F) = 0.676 states/eV/atom
1.0
7.2329 0.0000 0.0000
0.0000 7.2329 0.0000
0.0000 0.0000 7.2329
Li Ca Cd
8 4 4
Direct
0.0000 0.0000 0.0000
0.0000 0.5000 0.5000
0.2500 0.2500 0.2500
0.2500 0.7500 0.7500
0.5000 0.0000 0.5000
0.5000 0.5000 0.0000
0.7500 0.2500 0.7500
0.7500 0.7500 0.2500
0.2500 0.2500 0.7500
0.2500 0.7500 0.2500
0.7500 0.2500 0.2500
0.7500 0.7500 0.7500
0.0000 0.0000 0.5000
0.0000 0.5000 0.0000
0.5000 0.0000 0.0000
0.5000 0.5000 0.5000



LaCoP SCAN single point on PBEsol structure; E = -143.6 eV for the cell shown; N(E_F) = 1.271 states/eV/atom
1.0
3.0509 0.0000 0.0000
0.0000 3.0509 0.0000
0.0000 0.0000 10.7606
La Co P
2 2 2
Direct
0.0000 0.0000 0.0000
0.5000 0.5000 0.5000
0.0000 0.0000 0.7100
0.5000 0.5000 0.2100
0.0000 0.0000 0.2866
0.5000 0.5000 0.7866



FeSnBr3 SCAN single point on PBEsol structure; formation energy without anion corrections = -170 meV per atom; E = -113.3 eV for the cell shown; N(E_F) = 1.160 states/eV/atom
1.0
4.9531 0.0000 0.0000
0.0000 4.9531 0.0000
0.0000 0.0000 4.9531
Fe Sn Br
1 1 3
Direct
0.0000 0.0000 0.0000
0.5000 0.5000 0.5000
0.0000 0.0000 0.5000
0.0000 0.5000 0.0000
0.5000 0.0000 0.0000



Na2CuP2 SCAN single point on PBEsol structure; E = -92.2 eV for the cell shown; N(E_F) = 0.224 states/eV/atom
1.0
6.0665 0.0000 0.0000
0.0000 6.0665 0.0000
0.0000 0.0000 4.6577
Na Cu P
4 2 4
Direct
0.1747 0.3253 0.0000
0.3253 0.8253 0.0000
0.6747 0.1747 0.0000
0.8253 0.6747 0.0000
0.0000 0.0000 0.5000
0.5000 0.5000 0.5000
0.1314 0.6314 0.5000
0.3686 0.1314 0.5000
0.6314 0.8686 0.5000
0.8686 0.3686 0.5000



Q: Which value of E does entry 4 give?
A: -92.2 eV for the cell shown